4
Lattice="3.6210 0.0000 0.0000 0.0000 3.6210 0.0000 0.0000 0.0000 8.7914" Properties=species:S:1:pos:R:3 comment="GGA-PBE Pr2SmBe, relaxed" relative_energy_ev_per_atom=0.000 volume_a3_per_fu=115.3 formation_enthalpy_0k_kcal_per_mol_atoms=3.01 space_group="P4/mmm, No. 123" pbc="T T T"
Pr 0.0000 0.0000 1.7147
Pr 0.0000 0.0000 7.0767
Sm 1.8105 1.8105 4.3957
Be 1.8105 1.8105 0.0000



4
Lattice="0.0000 3.6002 3.6002 3.6002 0.0000 3.6002 3.6002 3.6002 0.0000" Properties=species:S:1:pos:R:3 comment="GGA-PBE PrSmBeZn, relaxed" volume_a3_per_fu=93.3 formation_enthalpy_0k_kcal_per_mol_atoms=-0.98 space_group="F-43m, No. 216" pbc="T T T"
Pr 0.0000 0.0000 0.0000
Sm 3.6002 3.6002 3.6002
Be 1.8001 1.8001 1.8001
Zn 5.4003 5.4003 5.4003